Record 1
{"formula": "CdPtSeO", "functional": "PBE-GGA", "state": "optimized geometry", "mass_density_g_cm3": 8.90, "cell": [[6.609, 0.000, 0.000], [0.000, 7.471, 0.000], [0.000, 0.000, 6.083]], "species": ["Cd", "Cd", "Cd", "Cd", "Pt", "Pt", "Pt", "Pt", "Se", "Se", "Se", "Se", "O", "O", "O", "O"], "fractional_positions": [[0.085, 0.125, 0.000], [0.415, 0.125, 0.500], [0.585, 0.875, 0.000], [0.915, 0.875, 0.500], [0.042, 0.707, 0.921], [0.458, 0.707, 0.421], [0.542, 0.293, 0.921], [0.958, 0.293, 0.421], [0.144, 0.573, 0.577], [0.356, 0.573, 0.077], [0.644, 0.427, 0.577], [0.856, 0.427, 0.077], [0.096, 0.109, 0.634], [0.404, 0.109, 0.134], [0.596, 0.891, 0.634], [0.904, 0.891, 0.134]]}



Record 2
{"formula": "HfPdAu", "functional": "PBE-GGA", "state": "optimized geometry", "mass_density_g_cm3": 12.90, "cell": [[0.000, 3.142, 3.142], [3.142, 0.000, 3.142], [3.142, 3.142, 0.000]], "species": ["Hf", "Pd", "Au"], "fractional_positions": [[0.000, 0.000, 0.000], [0.750, 0.750, 0.750], [0.500, 0.500, 0.500]]}



These records have polymorph energy (0 for the lowest one) values of 0, 460 meV/atom, in the order they appear.